# NaWIO2, relaxed, DFT PBE+U
data_NaWIO2
_space_group_name_H-M_alt 'P 4/m m m'
_space_group_IT_number 123
_space_group_name_Hall '-P 4 2'
_cell_length_a 4.0225
_cell_length_b 4.0225
_cell_length_c 6.4267
_cell_angle_alpha 90.00
_cell_angle_beta 90.00
_cell_angle_gamma 90.00
loop_
_atom_site_label
_atom_site_type_symbol
_atom_site_fract_x
_atom_site_fract_y
_atom_site_fract_z
Na1 Na 0.0000 0.0000 0.0000
W1 W 0.5000 0.5000 0.5000
I1 I 0.5000 0.5000 0.0000
O1 O 0.0000 0.5000 0.5000
# - Electronic total energy: -25.99 eV for the cell shown
# - Total magnetization: 2.0 μB per formula unit
# - Density of states at the Fermi level: 0.369 states/eV/atom